Record 1
A relaxed Ba2TbMo2 crystal. Source: the Open Quantum Materials Database, functional PBE-GGA.

```
Ba2TbMo2
1.0
2.689 3.845 -0.285
-3.795 2.577 -1.026
-0.502 -1.949 7.730
Ba Mo Tb
2 2 1
direct
0.750 0.250 0.500
0.250 0.750 0.500
0.428 0.428 0.856
0.572 0.572 0.144
0.000 0.000 0.000
```

Summary:
E, eV/atom: -5.0174
SG: No. 139
Size of the total moment, μB per formula unit: 0.77

---

Record 2
A relaxed Ba2TbMo2 crystal. Source: the Open Quantum Materials Database, functional PBE-GGA.

```
Ba2TbMo2
1.0
2.640 -2.640 0.000
2.640 2.640 0.000
-2.636 0.000 10.186
Tb Mo Ba
1 2 2
direct
0.000 0.000 0.000
0.250 0.750 0.500
0.750 0.250 0.500
0.380 0.380 0.760
0.620 0.620 0.240
```

Summary:
E, eV/atom: -5.0518
SG: No. 139
Size of the total moment, μB per formula unit: 0.54

---

> Which value of E does entry 2 give?

-5.0518 eV/atom